The following is a PBE-GGA calculation of crystalline RbCeCd17 at its relaxed geometry, from Alexandria via LeMat-Bulk.

The value obtained for the magnetization is 0.06 μB/atom. The formation energy is -0.077 eV/atom. As for the calculated volume: 1384 Å³ per cell. Its crystal system is trigonal.

The structure belongs to space group R3m (No. 160, hexagonal axes); the cell edges are 10.2633, 10.2633 and 15.1725 Å and the angles 90.00°, 90.00° and 120.00°. The distinct sites, in fractional coordinates, are Rb at (0.0000, 0.0000, 0.0000), Ce at (0.0000, 0.0000, 0.3297), Cd at (0.0000, 0.0000, 0.5558), Cd at (0.0000, 0.0000, 0.7550), Cd at (0.0378, 0.3685, 0.3287), Cd at (0.1712, 0.3424, 0.1412), Cd at (0.1739, 0.3477, 0.4982) and Cd at (0.1829, 0.3658, 0.8471).